Run P
Entry from Alexandria via LeMat-Bulk: a crystal of CaGa2S4 relaxed with PBEsol (meta-GGA SCAN).

Unit cell a=12.0270 b=19.8982 c=19.9409 alpha=90.00 beta=90.00 gamma=90.00
Space group Fddd (No. 70, origin choice 2)
Asymmetric unit:
Ca  0.1250  0.1250  0.1250
Ca  0.1250  0.1250  0.3728
Ca  0.1250  0.1250  0.6250
Ga  0.0859  0.3047  0.2498
Ga  0.1253  0.2613  0.4994
S  0.0015  0.9998  0.5865
S  0.0015  0.0001  0.9130
S  0.0029  0.0931  0.2487
S  0.0163  0.0838  0.7514

## Properties
Spin magnetization: 0.0 μB per cell
DOS at the Fermi energy: 0.00 states/eV/f.u.

=====

Run Q
Entry from Alexandria via LeMat-Bulk: a crystal of CaGa2S4 relaxed with PBEsol (meta-GGA SCAN).

Unit cell a=5.9669 b=9.9742 c=10.0299 alpha=90.00 beta=90.00 gamma=90.00
Space group Cccm (No. 66)
Asymmetric unit:
Ca  0.0000  0.0000  0.2500
Ga  0.0019  0.2673  0.0000
S  0.2256  0.0778  0.5000
S  0.2500  0.2500  0.1732

## Properties
Spin magnetization: 0.0 μB per cell
DOS at the Fermi energy: 0.00 states/eV/f.u.

=====

Which structure is the least stable? The one labeled run Q.